Entry from the Alexandria database: an optimized crystal structure of LaOsPt (PBEsol).

Calculated values
E_form	0.0791	eV/atom
E_tot	-0.2975	hartree per atom
D(E_F)	3.918	states/eV/f.u.

a b c (Å): 5.511 5.511 5.511
angles (deg): 142.34 142.34 54.32
Sites, in units of the cell vectors:
La1 0.000 0.000 0.000
Os1 0.720 0.720 0.000
Pt1 0.294 0.294 0.000


Entry from the Alexandria database: an optimized crystal structure of KMgSiF2 (PBEsol).

Calculated values
ΔE_f (raw)	-3.149	eV/f.u.
E_tot	-0.1147	hartree per atom
D(E_F)	1.666	states/eV/f.u.

a b c (Å): 4.365 4.365 6.360
angles (deg): 90.00 90.00 90.00
Sites, in units of the cell vectors:
K1 0.000 0.000 0.000
Mg1 0.500 0.500 0.000
Si1 0.000 0.000 0.500
F1 0.000 0.500 0.500
F2 0.500 0.000 0.500